1.
Entry from Alexandria: crystalline Pr3Ni7Au2 at its relaxed geometry (GGA-PBE).

Lattice parameters (Å, degrees): 8.9944 8.9944 8.9944 33.89 33.89 33.89
Last column: nearest neighbours and their distance in Å.
Sites, in units of the cell vectors:
Pr: 0.0000 0.0000 0.0000  6 Au 3.03
Pr: 0.1396 0.1396 0.1396  12 Ni 2.95-3.11
Pr: 0.8604 0.8604 0.8604  12 Ni 2.95-3.11
Ni: 0.0879 0.5862 0.5862  5 Ni 2.53-2.63, 2 Au 2.67-2.68
Ni: 0.4138 0.4138 0.9121  5 Ni 2.53-2.63, 2 Au 2.67-2.68
Ni: 0.4138 0.9121 0.4138  5 Ni 2.53-2.63, 2 Au 2.67-2.68
Ni: 0.5000 0.5000 0.5000  6 Ni 2.53
Ni: 0.5862 0.0879 0.5862  5 Ni 2.53-2.63, 2 Au 2.67-2.68
Ni: 0.5862 0.5862 0.0879  5 Ni 2.53-2.63, 2 Au 2.67-2.68
Ni: 0.9121 0.4138 0.4138  5 Ni 2.53-2.63, 2 Au 2.67-2.68
Au: 0.3330 0.3330 0.3330  6 Ni 2.67-2.68
Au: 0.6670 0.6670 0.6670  6 Ni 2.67-2.68

## Properties
D(E_F) in states/eV/cell: 9.065
ΔH_f (0 K) in eV/atom: -0.34
Space-group type: No. 166

=====

2.
Entry from Alexandria: crystalline Ac4RuS3 at its relaxed geometry (GGA-PBE).

Lattice parameters (Å, degrees): 7.7146 8.7351 7.4532 90.00 109.74 90.00
Last column: nearest neighbours and their distance in Å.
Sites, in units of the cell vectors:
Ac: 0.2339 0.1155 0.0001  2 Ru 3.00, 4 S 3.12-3.24
Ac: 0.2339 0.8845 0.5001  2 Ru 3.00, 4 S 3.12-3.24
Ac: 0.2420 0.3627 0.4871  1 Ru 2.92, 5 S 3.05-3.19
Ac: 0.2420 0.6373 0.9871  1 Ru 2.92, 5 S 3.05-3.19
Ac: 0.7580 0.3627 0.0129  1 Ru 2.92, 5 S 3.05-3.19
Ac: 0.7580 0.6373 0.5129  1 Ru 2.92, 5 S 3.05-3.19
Ac: 0.7661 0.1155 0.4999  2 Ru 3.00, 4 S 3.12-3.24
Ac: 0.7661 0.8845 0.9999  2 Ru 3.00, 4 S 3.12-3.24
Ru: 0.0000 0.1290 0.2500  6 Ac 2.92-3.00
Ru: 0.0000 0.8710 0.7500  6 Ac 2.92-3.00
S: 0.0000 0.3805 0.7500  6 Ac 3.07-3.13
S: 0.0000 0.6195 0.2500  6 Ac 3.07-3.13
S: 0.5000 0.1304 0.7500  6 Ac 3.05-3.21
S: 0.5000 0.3816 0.2500  6 Ac 3.08-3.24
S: 0.5000 0.6184 0.7500  6 Ac 3.08-3.24
S: 0.5000 0.8696 0.2500  6 Ac 3.05-3.21

## Properties
D(E_F) in states/eV/cell: 10.442
Uncorrected formation energy in eV/atom: -1.5005
Space-group type: No. 13

=====

3.
Entry from Alexandria: crystalline ZnGaSn2 at its relaxed geometry (GGA-PBE).

Lattice parameters (Å, degrees): 5.2156 5.2156 15.8608 90.00 90.00 90.00
Last column: nearest neighbours and their distance in Å.
Sites, in units of the cell vectors:
Zn: 0.0000 0.0000 0.0000  4 Sn 2.67
Zn: 0.0000 0.5000 0.2500  4 Sn 2.67
Zn: 0.5000 0.0000 0.7500  4 Sn 2.67
Zn: 0.5000 0.5000 0.5000  4 Sn 2.67
Ga: 0.0000 0.0000 0.5000  4 Sn 2.75
Ga: 0.0000 0.5000 0.7500  4 Sn 2.75
Ga: 0.5000 0.0000 0.2500  4 Sn 2.75
Ga: 0.5000 0.5000 0.0000  4 Sn 2.75
Sn: 0.2341 0.2500 0.1250  2 Zn 2.67, 2 Ga 2.75
Sn: 0.2500 0.7341 0.3750  2 Zn 2.67, 2 Ga 2.75
Sn: 0.2500 0.7659 0.8750  2 Zn 2.67, 2 Ga 2.75
Sn: 0.2659 0.2500 0.6250  2 Zn 2.67, 2 Ga 2.75
Sn: 0.7341 0.7500 0.6250  2 Zn 2.67, 2 Ga 2.75
Sn: 0.7500 0.2341 0.8750  2 Zn 2.67, 2 Ga 2.75
Sn: 0.7500 0.2659 0.3750  2 Zn 2.67, 2 Ga 2.75
Sn: 0.7659 0.7500 0.1250  2 Zn 2.67, 2 Ga 2.75

## Properties
D(E_F) in states/eV/cell: 6.732
ΔH_f (0 K) in eV/atom: 0.16
Space-group type: No. 122
Relative energy among the computed polymorphs in eV/atom: 0.076

=====

4.
Entry from Alexandria: crystalline ZnTeCl2 at its relaxed geometry (GGA-PBE).

Lattice parameters (Å, degrees): 5.2865 4.2556 5.6968 90.00 100.00 90.00
Last column: nearest neighbours and their distance in Å.
Sites, in units of the cell vectors:
Zn: 0.0000 0.0000 0.0000  1 Cl 2.20
Te: 0.7406 0.5000 0.8147  1 Cl 2.41, 2 Zn 2.65
Cl: 0.4104 0.0000 0.1615  1 Zn 2.20
Cl: 0.9872 0.5000 0.4959  1 Te 2.41

## Properties
Uncorrected formation energy in eV/atom: -0.5375
Space-group type: No. 6
Relative energy among the computed polymorphs in eV/atom: 0.086

=====

5.
Entry from Alexandria: crystalline CsCaNb at its relaxed geometry (GGA-PBE).

Lattice parameters (Å, degrees): 9.9232 5.7261 12.6183 90.00 105.11 90.00
Last column: nearest neighbours and their distance in Å.
Sites, in units of the cell vectors:
Cs: 0.2287 0.0000 0.1825  3 Nb 4.32-4.33, 4 Ca 4.33-4.75
Cs: 0.2713 0.5000 0.8175  3 Nb 4.32-4.33, 4 Ca 4.33-4.75
Cs: 0.7287 0.5000 0.1825  3 Nb 4.32-4.33, 4 Ca 4.33-4.75
Cs: 0.7713 0.0000 0.8175  3 Nb 4.32-4.33, 4 Ca 4.33-4.75
Ca: 0.1540 0.5000 0.4618  6 Nb 3.36-3.66, 3 Ca 3.44
Ca: 0.3460 0.0000 0.5382  6 Nb 3.36-3.66, 3 Ca 3.44
Ca: 0.6540 0.0000 0.4618  6 Nb 3.36-3.66, 3 Ca 3.44
Ca: 0.8460 0.5000 0.5382  6 Nb 3.36-3.66, 3 Ca 3.44
Nb: 0.0297 0.0000 0.5893  1 Nb 2.18
Nb: 0.4703 0.5000 0.4107  1 Nb 2.18
Nb: 0.5297 0.5000 0.5893  1 Nb 2.18
Nb: 0.9703 0.0000 0.4107  1 Nb 2.18

## Properties
D(E_F) in states/eV/cell: 14.609
ΔH_f (0 K) in eV/atom: 0.70
Space-group type: No. 12
Relative energy among the computed polymorphs in eV/atom: 0.306

=====

6.
Entry from Alexandria: crystalline CsTl2Sn3O8 at its relaxed geometry (GGA-PBE).

Lattice parameters (Å, degrees): 8.2727 8.2727 8.2727 46.52 46.52 46.52
Last column: nearest neighbours and their distance in Å.
Sites, in units of the cell vectors:
Cs: 0.0000 0.0000 0.0000  4 O 2.91-3.10
Tl: 0.3278 0.3278 0.3278  3 O 2.54
Tl: 0.7735 0.7735 0.7735  3 O 2.23
Sn: 0.3577 0.3577 0.8619  6 O 2.09-2.19
Sn: 0.3577 0.8619 0.3577  6 O 2.09-2.19
Sn: 0.8619 0.3577 0.3577  6 O 2.09-2.19
O: 0.0925 0.0925 0.5401  2 Sn 2.09
O: 0.0925 0.5401 0.0925  2 Sn 2.09
O: 0.1404 0.1404 0.1404  3 Sn 2.19
O: 0.1788 0.6235 0.6235  2 Sn 2.12, 1 Tl 2.23
O: 0.5401 0.0925 0.0925  2 Sn 2.09
O: 0.5737 0.5737 0.5737  3 Sn 2.18
O: 0.6235 0.1788 0.6235  2 Sn 2.12, 1 Tl 2.23
O: 0.6235 0.6235 0.1788  2 Sn 2.12, 1 Tl 2.23

## Properties
D(E_F) in states/eV/cell: 2.861
Uncorrected formation energy in eV/atom: -1.3144
Space-group type: No. 160

=====

7.
Entry from Alexandria: crystalline LiHoAgPb at its relaxed geometry (GGA-PBE).

Lattice parameters (Å, degrees): 7.1353 7.1353 7.1353 90.00 90.00 90.00
Last column: nearest neighbours and their distance in Å.
Sites, in units of the cell vectors:
Li: 0.0000 0.0000 0.0000  4 Pb 3.09, 4 Ag 3.09
Li: 0.0000 0.5000 0.5000  4 Pb 3.09, 4 Ag 3.09
Li: 0.5000 0.0000 0.5000  4 Pb 3.09, 4 Ag 3.09
Li: 0.5000 0.5000 0.0000  4 Pb 3.09, 4 Ag 3.09
Ho: 0.0000 0.0000 0.5000  4 Pb 3.09, 4 Ag 3.09
Ho: 0.0000 0.5000 0.0000  4 Pb 3.09, 4 Ag 3.09
Ho: 0.5000 0.0000 0.0000  4 Pb 3.09, 4 Ag 3.09
Ho: 0.5000 0.5000 0.5000  4 Pb 3.09, 4 Ag 3.09
Ag: 0.2500 0.2500 0.7500  4 Li 3.09, 4 Ho 3.09
Ag: 0.2500 0.7500 0.2500  4 Li 3.09, 4 Ho 3.09
Ag: 0.7500 0.2500 0.2500  4 Li 3.09, 4 Ho 3.09
Ag: 0.7500 0.7500 0.7500  4 Li 3.09, 4 Ho 3.09
Pb: 0.2500 0.2500 0.2500  4 Li 3.09, 4 Ho 3.09
Pb: 0.2500 0.7500 0.7500  4 Li 3.09, 4 Ho 3.09
Pb: 0.7500 0.2500 0.7500  4 Li 3.09, 4 Ho 3.09
Pb: 0.7500 0.7500 0.2500  4 Li 3.09, 4 Ho 3.09

## Properties
D(E_F) in states/eV/cell: 9.756
ΔH_f (0 K) in eV/atom: -0.34
Space-group type: No. 216

=====

8.
Entry from Alexandria: crystalline NaSr4Ag2 at its relaxed geometry (GGA-PBE).

Lattice parameters (Å, degrees): 11.5060 11.5060 11.5060 27.19 27.19 27.19
Last column: nearest neighbours and their distance in Å.
Sites, in units of the cell vectors:
Na: 0.0000 0.0000 0.0000  2 Ag 3.23
Sr: 0.2016 0.2016 0.2016  4 Ag 3.33-3.47
Sr: 0.3900 0.3900 0.3900  3 Ag 3.40, 3 Na 3.65
Sr: 0.6100 0.6100 0.6100  3 Ag 3.40, 3 Na 3.65
Sr: 0.7984 0.7984 0.7984  4 Ag 3.33-3.47
Ag: 0.0973 0.0973 0.0973  1 Na 3.23, 7 Sr 3.33-3.47
Ag: 0.9027 0.9027 0.9027  1 Na 3.23, 7 Sr 3.33-3.47

## Properties
D(E_F) in states/eV/cell: 4.644
ΔH_f (0 K) in eV/atom: -0.09
Space-group type: No. 166
Relative energy among the computed polymorphs in eV/atom: 0.010

=====

It is found that the total DFT energy (no corrections) values, taken in the order of the records, are -5.45, -6.26, -2.91, -2.56, -3.60, -5.40, -3.61, -2.06 eV/atom.